The following is a DFT calculation (PBE-GGA) of an optimized crystal structure of CdHgI3.

Cell and atoms, written as POSCAR:
```
CdHgI3
1.0
5.930 0.000 0.000
0.000 5.930 0.000
0.000 0.000 5.930
I Hg Cd
3 1 1
Direct
0.500 0.000 0.000 I
0.000 0.000 0.500 I
0.000 0.500 0.000 I
0.500 0.500 0.500 Hg
0.000 0.000 0.000 Cd
```

Output
Space-group type   No. 221
Total moment   0.000 μB/f.u.
D(E_F)   13.86 states/eV/f.u.
Theoretical density   5.52 Mg/m³
ΔE to the lowest computed polymorph   182 meV/atom